Computed, not measured: PmNdCoI after structural relaxation at the PBE-GGA level of DFT.

## Properties
Spin magnetization   0.00 μB/f.u.
Uncorrected formation energy   -0.57 eV/atom
Density of states at the Fermi level   2.11 states/eV per cell
E_tot   -0.1878 hartree per atom
Theoretical density   6.856 g cm⁻³

```
data_PmNdCoI
_space_group_name_H-M_alt 'C 1 m 1'
_space_group_IT_number 8
_cell_length_a 7.0090
_cell_length_b 4.0450
_cell_length_c 8.4446
_cell_angle_alpha 90.00
_cell_angle_beta 106.01
_cell_angle_gamma 90.00
loop_
_space_group_symop_operation_xyz
'x,y,z'
'x,-y,z'
'x+1/2,y+1/2,z'
'x+1/2,-y+1/2,z'
loop_
_atom_site_label
_atom_site_type_symbol
_atom_site_fract_x
_atom_site_fract_y
_atom_site_fract_z
Pm1 Pm 0.0000 0.0000 0.0000
Nd1 Nd 0.2114 0.0000 0.6364
Co1 Co 0.1061 0.5000 0.8196
I1 I 0.4371 0.0000 0.3130
```